Entry from Alexandria: a relaxed structure of K3HgF4 (PBE).

Computed properties:
As for the space-group type: Pmmn (59). Its formation energy without anion corrections is -2.2177 eV/atom. As for the density of states at the Fermi level: 4.9 states/eV/cell.

a = 5.2731 Å, b = 7.8188 Å, c = 9.2086 Å
α = 90.00°, β = 90.00°, γ = 90.00°
With the nearest neighbours (Å) after each atom.
Sites, in units of the cell vectors:
Hg: 0.0645 0.1747 0.0000  5 F 2.62-2.64
Hg: 0.5645 0.8253 0.5000  5 F 2.62-2.64
F: 0.5644 0.1603 0.5000  1 Hg 2.62, 4 K 2.64
F: 0.0645 0.8238 0.5000  3 K 2.62, 2 Hg 2.64
F: 0.0644 0.3318 0.7470  1 Hg 2.63, 4 K 2.64-2.65
F: 0.5644 0.6682 0.2470  1 Hg 2.63, 4 K 2.64-2.65
F: 0.0644 0.3318 0.2530  1 Hg 2.63, 4 K 2.64-2.65
F: 0.5645 0.1762 0.0000  3 K 2.62, 2 Hg 2.64
F: 0.0644 0.8397 0.0000  1 Hg 2.62, 4 K 2.64
F: 0.5644 0.6682 0.7530  1 Hg 2.63, 4 K 2.64-2.65
K: 0.5644 0.3301 0.7476  5 F 2.62-2.64
K: 0.0644 0.1584 0.5000  5 F 2.62-2.65
K: 0.5644 0.3301 0.2524  5 F 2.62-2.64
K: 0.0644 0.6699 0.7524  5 F 2.62-2.64
K: 0.0644 0.6699 0.2476  5 F 2.62-2.64
K: 0.5644 0.8416 0.0000  5 F 2.62-2.65